Entry 1:
A plane-wave DFT calculation with PBE+U was carried out for an optimized crystal structure of VCdAg2O4.

Calculated values
final energy: -5.20 eV/atom
magnetization: 0.0 μB per formula unit

Cell: 6.4292 6.2402 4.9413 Å, 69.08 65.04 45.88°
Fractional coordinates of all 8 atoms:
V: 0.0000 0.0000 0.0000
Cd: 0.5416 0.5416 0.4584
Ag: 0.2608 0.2608 0.2392
Ag: 0.7608 0.7608 0.7392
O: 0.1290 0.6850 0.8710
O: 0.2915 0.9023 0.0977
O: 0.6850 0.1290 0.3150
O: 0.9023 0.2915 0.7085

***

Entry 2:
A plane-wave DFT calculation with PBE+U was carried out for an optimized crystal structure of VCdAgO4.

Calculated values
final energy: -5.66 eV/atom
magnetization: 0.0 μB per formula unit

Cell: 5.7502 5.7502 6.8749 Å, 90.00 90.00 112.00°
Fractional coordinates of all 14 atoms:
V: 0.1415 0.8585 0.7500
V: 0.8585 0.1415 0.2500
Cd: 0.1737 0.8263 0.2500
Cd: 0.8263 0.1737 0.7500
Ag: 0.5000 0.5000 0.0000
Ag: 0.5000 0.5000 0.5000
O: 0.1859 0.2457 0.2500
O: 0.2457 0.1859 0.7500
O: 0.2500 0.7500 0.5425
O: 0.2500 0.7500 0.9575
O: 0.7500 0.2500 0.0425
O: 0.7500 0.2500 0.4575
O: 0.7543 0.8141 0.2500
O: 0.8141 0.7543 0.7500

***

Entry 3:
A plane-wave DFT calculation with PBE+U was carried out for an optimized crystal structure of VCdAgO4.

Calculated values
final energy: -5.74 eV/atom
magnetization: 0.0 μB per formula unit

Cell: 10.0532 7.0919 5.5407 Å, 90.00 90.00 90.00°
Fractional coordinates of all 28 atoms:
V: 0.1788 0.2500 0.0120
V: 0.3212 0.7500 0.5120
V: 0.6788 0.2500 0.4880
V: 0.8212 0.7500 0.9880
Cd: 0.0000 0.0000 0.5000
Cd: 0.0000 0.5000 0.5000
Cd: 0.5000 0.0000 0.0000
Cd: 0.5000 0.5000 0.0000
Ag: 0.1519 0.7500 0.9995
Ag: 0.3481 0.2500 0.4995
Ag: 0.6519 0.7500 0.5005
Ag: 0.8481 0.2500 0.0005
O: 0.1171 0.0525 0.1558
O: 0.1171 0.4475 0.1558
O: 0.1255 0.2500 0.7072
O: 0.1437 0.7500 0.5600
O: 0.3563 0.2500 0.0600
O: 0.3745 0.7500 0.2072
O: 0.3829 0.5525 0.6558
O: 0.3829 0.9475 0.6558
O: 0.6171 0.0525 0.3442
O: 0.6171 0.4475 0.3442
O: 0.6255 0.2500 0.7928
O: 0.6437 0.7500 0.9400
O: 0.8563 0.2500 0.4400
O: 0.8745 0.7500 0.2928
O: 0.8829 0.5525 0.8442
O: 0.8829 0.9475 0.8442

***

Entry 4:
A plane-wave DFT calculation with PBE+U was carried out for an optimized crystal structure of Cd2AgWO6.

Calculated values
final energy: -5.37 eV/atom
magnetization: 1.0 μB per formula unit

Cell: 6.0190 6.0190 5.2884 Å, 114.48 114.48 55.66°
Fractional coordinates of all 10 atoms:
Cd: 0.2429 0.2429 0.1976
Cd: 0.7571 0.7571 0.8024
Ag: 0.0000 0.0000 0.5000
W: 0.5000 0.5000 0.0000
O: 0.1679 0.6609 0.1440
O: 0.3273 0.3273 0.6528
O: 0.3391 0.8321 0.8560
O: 0.6609 0.1679 0.1440
O: 0.6727 0.6727 0.3472
O: 0.8321 0.3391 0.8560

***

Entry 5:
A plane-wave DFT calculation with PBE+U was carried out for an optimized crystal structure of CdAgW2O8.

Calculated values
final energy: -6.16 eV/atom
magnetization: 1.1 μB per formula unit

Cell: 6.1899 6.1899 6.1899 Å, 109.01 109.01 110.40°
Fractional coordinates of all 12 atoms:
Cd: 0.0000 0.0000 0.0000
Ag: 0.7500 0.2500 0.5000
W: 0.2500 0.7500 0.5000
W: 0.5000 0.5000 0.0000
O: 0.0993 0.3951 0.2958
O: 0.0993 0.8035 0.7042
O: 0.1423 0.3430 0.7993
O: 0.1965 0.9007 0.2958
O: 0.5438 0.3430 0.2007
O: 0.6049 0.9007 0.7042
O: 0.6570 0.4562 0.7993
O: 0.6570 0.8577 0.2007